# 1
# Pm4Y2HoTm2 PBE-GGA optimized geometry
# Raw total energy = -5.03 eV/atom
# Calculated density = 7.149 g/cm3
data_Pm4Y2HoTm2
_chemical_formula_sum 'Pm8 Y4 Ho2 Tm4'
_symmetry_space_group_name_H-M 'C 1 2/m 1'
_symmetry_Int_Tables_number 12
_symmetry_space_group_name_Hall '-C 2y'
_cell_length_a 15.2155
_cell_length_b 5.0636
_cell_length_c 8.0113
_cell_angle_alpha 90.00
_cell_angle_beta 108.41
_cell_angle_gamma 90.00
loop_
_atom_site_label
_atom_site_type_symbol
_atom_site_fract_x
_atom_site_fract_y
_atom_site_fract_z
_atom_site_occupancy
Pm1 Pm 0.0547 0.0000 0.3296 1
Pm2 Pm 0.2221 0.5000 0.3307 1
Y1 Y 0.1117 0.5000 0.6697 1
Ho1 Ho 0.0000 0.5000 0.0000 1
Tm1 Tm 0.1671 0.0000 0.0001 1

=====

# 2
# Pm2Y2HoTm2 PBE-GGA optimized geometry
# Raw total energy = -5.00 eV/atom
# Calculated density = 7.082 g/cm3
data_Pm2Y2HoTm2
_chemical_formula_sum 'Pm6 Y6 Ho3 Tm6'
_symmetry_space_group_name_H-M 'R -3 m'
_symmetry_Int_Tables_number 166
_symmetry_space_group_name_Hall '-R 3 2"'
_cell_length_a 5.6825
_cell_length_b 5.6825
_cell_length_c 24.4132
_cell_angle_alpha 90.00
_cell_angle_beta 90.00
_cell_angle_gamma 120.00
loop_
_atom_site_label
_atom_site_type_symbol
_atom_site_fract_x
_atom_site_fract_y
_atom_site_fract_z
_atom_site_occupancy
Pm1 Pm 0.0000 0.0000 0.1387 1
Y1 Y 0.0000 0.0000 0.2850 1
Ho1 Ho 0.0000 0.0000 0.0000 1
Tm1 Tm 0.0000 0.0000 0.4274 1

=====

# 3
# Pm2YHoTm6 PBE-GGA optimized geometry
# Raw total energy = -4.62 eV/atom
# Calculated density = 8.184 g/cm3
data_Pm2YHoTm6
_chemical_formula_sum 'Pm8 Y4 Ho4 Tm24'
_symmetry_space_group_name_H-M 'C 1 2/c 1'
_symmetry_Int_Tables_number 15
_symmetry_space_group_name_Hall '-C 2yc'
_cell_length_a 8.9307
_cell_length_b 14.9605
_cell_length_c 9.5709
_cell_angle_alpha 90.00
_cell_angle_beta 98.70
_cell_angle_gamma 90.00
loop_
_atom_site_label
_atom_site_type_symbol
_atom_site_fract_x
_atom_site_fract_y
_atom_site_fract_z
_atom_site_occupancy
Pm1 Pm 0.2476 0.0535 0.0432 1
Y1 Y 0.0000 0.0190 0.7500 1
Ho1 Ho 0.0000 0.4071 0.2500 1
Tm1 Tm 0.0639 0.1911 0.4426 1
Tm2 Tm 0.1040 0.3942 0.6188 1
Tm3 Tm 0.2009 0.2241 0.8135 1

=====

# 4
# Pm6Y3HoTm2 PBE-GGA optimized geometry
# Raw total energy = -5.11 eV/atom
# Calculated density = 6.952 g/cm3
data_Pm6Y3HoTm2
_chemical_formula_sum 'Pm12 Y6 Ho2 Tm4'
_symmetry_space_group_name_H-M 'C 1 2/m 1'
_symmetry_Int_Tables_number 12
_symmetry_space_group_name_Hall '-C 2y'
_cell_length_a 6.2395
_cell_length_b 10.8034
_cell_length_c 11.8027
_cell_angle_alpha 90.00
_cell_angle_beta 100.11
_cell_angle_gamma 90.00
loop_
_atom_site_label
_atom_site_type_symbol
_atom_site_fract_x
_atom_site_fract_y
_atom_site_fract_z
_atom_site_occupancy
Pm1 Pm 0.2496 0.0000 0.2479 1
Pm2 Pm 0.2501 0.1668 0.7522 1
Y1 Y 0.0000 0.0000 0.5000 1
Y2 Y 0.0000 0.3332 0.5000 1
Ho1 Ho 0.0000 0.5000 0.0000 1
Tm1 Tm 0.0000 0.1666 0.0000 1

=====

# 5
# PmY3HoTm PBE-GGA optimized geometry
# Raw total energy = -5.51 eV/atom
# Calculated density = 6.451 g/cm3
data_PmY3HoTm
_chemical_formula_sum 'Pm4 Y12 Ho4 Tm4'
_symmetry_space_group_name_H-M 'C m c m'
_symmetry_Int_Tables_number 63
_symmetry_space_group_name_Hall '-C 2c 2'
_cell_length_a 5.0326
_cell_length_b 15.1219
_cell_length_c 10.0871
_cell_angle_alpha 90.00
_cell_angle_beta 90.00
_cell_angle_gamma 90.00
loop_
_atom_site_label
_atom_site_type_symbol
_atom_site_fract_x
_atom_site_fract_y
_atom_site_fract_z
_atom_site_occupancy
Pm1 Pm 0.0000 0.0008 0.2500 1
Y1 Y 0.0000 0.1663 0.0002 1
Y2 Y 0.0000 0.3325 0.2500 1
Ho1 Ho 0.0000 0.5000 0.0000 1
Tm1 Tm 0.0000 0.3334 0.7500 1

=====

# 6
# PmY2HoTm5 PBE-GGA optimized geometry
# Raw total energy = -4.80 eV/atom
# Calculated density = 7.706 g/cm3
data_PmY2HoTm5
_chemical_formula_sum 'Pm4 Y8 Ho4 Tm20'
_symmetry_space_group_name_H-M 'C m c 21'
_symmetry_Int_Tables_number 36
_symmetry_space_group_name_Hall 'C 2c -2'
_cell_length_a 5.5697
_cell_length_b 19.5636
_cell_length_c 10.5396
_cell_angle_alpha 90.00
_cell_angle_beta 90.00
_cell_angle_gamma 90.00
loop_
_atom_site_label
_atom_site_type_symbol
_atom_site_fract_x
_atom_site_fract_y
_atom_site_fract_z
_atom_site_occupancy
Pm1 Pm 0.0000 0.0831 0.0000 1
Y1 Y 0.0000 0.3872 0.8642 1
Y2 Y 0.0000 0.3898 0.2791 1
Ho1 Ho 0.0000 0.2984 0.5563 1
Tm1 Tm 0.0000 0.0208 0.2811 1
Tm2 Tm 0.0000 0.1105 0.5662 1
Tm3 Tm 0.0000 0.2014 0.2542 1
Tm4 Tm 0.0000 0.2172 0.8552 1
Tm5 Tm 0.0000 0.4806 0.5705 1

=====

# 7
# PmYHo2Tm5 PBE-GGA optimized geometry
# Raw total energy = -4.45 eV/atom
# Calculated density = 8.176 g/cm3
data_PmYHo2Tm5
_chemical_formula_sum 'Pm4 Y4 Ho8 Tm20'
_symmetry_space_group_name_H-M 'I 4/m c m'
_symmetry_Int_Tables_number 140
_symmetry_space_group_name_Hall '-I 4 2c'
_cell_length_a 8.8978
_cell_length_b 8.8978
_cell_length_c 14.4526
_cell_angle_alpha 90.00
_cell_angle_beta 90.00
_cell_angle_gamma 90.00
loop_
_atom_site_label
_atom_site_type_symbol
_atom_site_fract_x
_atom_site_fract_y
_atom_site_fract_z
_atom_site_occupancy
Pm1 Pm 0.0000 0.0000 0.2500 1
Y1 Y 0.0000 0.5000 0.2500 1
Ho1 Ho 0.1120 0.3880 0.0000 1
Tm1 Tm 0.0000 0.0000 0.0000 1
Tm2 Tm 0.2052 0.2948 0.3691 1

=====

# 8
# Pm2Y3HoTm6 PBE-GGA optimized geometry
# Raw total energy = -5.00 eV/atom
# Calculated density = 7.675 g/cm3
data_Pm2Y3HoTm6
_chemical_formula_sum 'Pm4 Y6 Ho2 Tm12'
_symmetry_space_group_name_H-M 'C 1 2/m 1'
_symmetry_Int_Tables_number 12
_symmetry_space_group_name_Hall '-C 2y'
_cell_length_a 6.1356
_cell_length_b 10.6163
_cell_length_c 11.7067
_cell_angle_alpha 90.00
_cell_angle_beta 100.04
_cell_angle_gamma 90.00
loop_
_atom_site_label
_atom_site_type_symbol
_atom_site_fract_x
_atom_site_fract_y
_atom_site_fract_z
_atom_site_occupancy
Pm1 Pm 0.0000 0.1666 0.0000 1
Y1 Y 0.0000 0.0000 0.5000 1
Y2 Y 0.0000 0.3335 0.5000 1
Ho1 Ho 0.0000 0.5000 0.0000 1
Tm1 Tm 0.2494 0.1664 0.7495 1
Tm2 Tm 0.2485 0.5000 0.7493 1

=====

# 9
# Pm3YHo2Tm6 PBE-GGA optimized geometry
# Raw total energy = -4.70 eV/atom
# Calculated density = 8.242 g/cm3
data_Pm3YHo2Tm6
_chemical_formula_sum 'Pm6 Y2 Ho4 Tm12'
_symmetry_space_group_name_H-M 'C 1 2/m 1'
_symmetry_Int_Tables_number 12
_symmetry_space_group_name_Hall '-C 2y'
_cell_length_a 6.1465
_cell_length_b 10.6378
_cell_length_c 11.6880
_cell_angle_alpha 90.00
_cell_angle_beta 100.06
_cell_angle_gamma 90.00
loop_
_atom_site_label
_atom_site_type_symbol
_atom_site_fract_x
_atom_site_fract_y
_atom_site_fract_z
_atom_site_occupancy
Pm1 Pm 0.0000 0.0000 0.0000 1
Pm2 Pm 0.0000 0.3334 0.0000 1
Y1 Y 0.0000 0.5000 0.5000 1
Ho1 Ho 0.0000 0.1667 0.5000 1
Tm1 Tm 0.2484 0.0000 0.7473 1
Tm2 Tm 0.2504 0.1671 0.2527 1

=====

# 10
# PmY2HoTm2 PBE-GGA optimized geometry
# Raw total energy = -4.93 eV/atom
# Calculated density = 6.996 g/cm3
data_PmY2HoTm2
_chemical_formula_sum 'Pm2 Y4 Ho2 Tm4'
_symmetry_space_group_name_H-M 'P n n m'
_symmetry_Int_Tables_number 58
_symmetry_space_group_name_Hall '-P 2 2n'
_cell_length_a 6.4786
_cell_length_b 17.7783
_cell_length_c 3.4029
_cell_angle_alpha 90.00
_cell_angle_beta 90.00
_cell_angle_gamma 90.00
loop_
_atom_site_label
_atom_site_type_symbol
_atom_site_fract_x
_atom_site_fract_y
_atom_site_fract_z
_atom_site_occupancy
Pm1 Pm 0.0000 0.0000 0.0000 1
Y1 Y 0.2220 0.1878 0.0000 1
Ho1 Ho 0.0000 0.5000 0.0000 1
Tm1 Tm 0.2198 0.3536 0.5000 1

=====

# 11
# PmY2Ho5Tm PBE-GGA optimized geometry
# Raw total energy = -4.85 eV/atom
# Calculated density = 7.516 g/cm3
data_PmY2Ho5Tm
_chemical_formula_sum 'Pm4 Y8 Ho20 Tm4'
_symmetry_space_group_name_H-M 'C m c 21'
_symmetry_Int_Tables_number 36
_symmetry_space_group_name_Hall 'C 2c -2'
_cell_length_a 5.6018
_cell_length_b 19.6758
_cell_length_c 10.5552
_cell_angle_alpha 90.00
_cell_angle_beta 90.00
_cell_angle_gamma 90.00
loop_
_atom_site_label
_atom_site_type_symbol
_atom_site_fract_x
_atom_site_fract_y
_atom_site_fract_z
_atom_site_occupancy
Pm1 Pm 0.0000 0.0842 0.0000 1
Y1 Y 0.0000 0.3867 0.8632 1
Y2 Y 0.0000 0.3894 0.2789 1
Ho1 Ho 0.0000 0.0206 0.2823 1
Ho2 Ho 0.0000 0.1121 0.5661 1
Ho3 Ho 0.0000 0.2017 0.2525 1
Ho4 Ho 0.0000 0.2176 0.8562 1
Ho5 Ho 0.0000 0.4805 0.5685 1
Tm1 Tm 0.0000 0.2992 0.5557 1

=====

# 12
# Pm2YHoTm PBE-GGA optimized geometry
# Raw total energy = -4.60 eV/atom
# Calculated density = 6.773 g/cm3
data_Pm2YHoTm
_chemical_formula_sum 'Pm8 Y4 Ho4 Tm4'
_symmetry_space_group_name_H-M 'C m c m'
_symmetry_Int_Tables_number 63
_symmetry_space_group_name_Hall '-C 2c 2'
_cell_length_a 8.3744
_cell_length_b 11.5277
_cell_length_c 7.2410
_cell_angle_alpha 90.00
_cell_angle_beta 90.00
_cell_angle_gamma 90.00
loop_
_atom_site_label
_atom_site_type_symbol
_atom_site_fract_x
_atom_site_fract_y
_atom_site_fract_z
_atom_site_occupancy
Pm1 Pm 0.1946 0.0000 0.0000 1
Y1 Y 0.0000 0.2393 0.2500 1
Ho1 Ho 0.0000 0.2154 0.7500 1
Tm1 Tm 0.0000 0.4814 0.7500 1

=====

# 13
# Pm2Y4Ho2Tm PBE-GGA optimized geometry
# Raw total energy = -5.43 eV/atom
# Calculated density = 6.540 g/cm3
data_Pm2Y4Ho2Tm
_chemical_formula_sum 'Pm4 Y8 Ho4 Tm2'
_symmetry_space_group_name_H-M 'C 1 2/m 1'
_symmetry_Int_Tables_number 12
_symmetry_space_group_name_Hall '-C 2y'
_cell_length_a 18.7124
_cell_length_b 3.6021
_cell_length_c 9.5766
_cell_angle_alpha 90.00
_cell_angle_beta 115.80
_cell_angle_gamma 90.00
loop_
_atom_site_label
_atom_site_type_symbol
_atom_site_fract_x
_atom_site_fract_y
_atom_site_fract_z
_atom_site_occupancy
Pm1 Pm 0.1486 0.0000 0.1674 1
Y1 Y 0.0184 0.5000 0.8306 1
Y2 Y 0.1845 0.0000 0.8318 1
Ho1 Ho 0.1661 0.5000 0.5007 1
Tm1 Tm 0.0000 0.0000 0.5000 1

=====

# 14
# PmYHoTm3 PBE-GGA optimized geometry
# Raw total energy = -4.84 eV/atom
# Calculated density = 8.020 g/cm3
data_PmYHoTm3
_chemical_formula_sum 'Pm4 Y4 Ho4 Tm12'
_symmetry_space_group_name_H-M 'C m c m'
_symmetry_Int_Tables_number 63
_symmetry_space_group_name_Hall '-C 2c 2'
_cell_length_a 4.9990
_cell_length_b 15.0026
_cell_length_c 10.0006
_cell_angle_alpha 90.00
_cell_angle_beta 90.00
_cell_angle_gamma 90.00
loop_
_atom_site_label
_atom_site_type_symbol
_atom_site_fract_x
_atom_site_fract_y
_atom_site_fract_z
_atom_site_occupancy
Pm1 Pm 0.0000 0.0010 0.2500 1
Y1 Y 0.0000 0.3320 0.2500 1
Ho1 Ho 0.0000 0.5000 0.0000 1
Tm1 Tm 0.0000 0.1673 0.0001 1
Tm2 Tm 0.0000 0.3327 0.7500 1

=====

# 15
# Pm2Y2HoTm4 PBE-GGA optimized geometry
# Raw total energy = -4.99 eV/atom
# Calculated density = 7.646 g/cm3
data_Pm2Y2HoTm4
_chemical_formula_sum 'Pm4 Y4 Ho2 Tm8'
_symmetry_space_group_name_H-M 'C 1 2/m 1'
_symmetry_Int_Tables_number 12
_symmetry_space_group_name_Hall '-C 2y'
_cell_length_a 18.5667
_cell_length_b 3.5758
_cell_length_c 9.5045
_cell_angle_alpha 90.00
_cell_angle_beta 115.76
_cell_angle_gamma 90.00
loop_
_atom_site_label
_atom_site_type_symbol
_atom_site_fract_x
_atom_site_fract_y
_atom_site_fract_z
_atom_site_occupancy
Pm1 Pm 0.1655 0.0000 0.0016 1
Y1 Y 0.1467 0.5000 0.6625 1
Ho1 Ho 0.0000 0.5000 0.0000 1
Tm1 Tm 0.0194 0.0000 0.3341 1
Tm2 Tm 0.1850 0.5000 0.3367 1

=====

# 16
# Pm5Y2HoTm PBE-GGA optimized geometry
# Raw total energy = -4.94 eV/atom
# Calculated density = 6.729 g/cm3
data_Pm5Y2HoTm
_chemical_formula_sum 'Pm20 Y8 Ho4 Tm4'
_symmetry_space_group_name_H-M 'C m c 21'
_symmetry_Int_Tables_number 36
_symmetry_space_group_name_Hall 'C 2c -2'
_cell_length_a 5.6548
_cell_length_b 20.2762
_cell_length_c 10.6469
_cell_angle_alpha 90.00
_cell_angle_beta 90.00
_cell_angle_gamma 90.00
loop_
_atom_site_label
_atom_site_type_symbol
_atom_site_fract_x
_atom_site_fract_y
_atom_site_fract_z
_atom_site_occupancy
Pm1 Pm 0.0000 0.0173 0.0000 1
Pm2 Pm 0.0000 0.1137 0.2777 1
Pm3 Pm 0.0000 0.2018 0.9634 1
Pm4 Pm 0.0000 0.2197 0.5695 1
Pm5 Pm 0.0000 0.4822 0.2744 1
Y1 Y 0.0000 0.3856 0.5691 1
Y2 Y 0.0000 0.3875 0.9931 1
Ho1 Ho 0.0000 0.0914 0.7192 1
Tm1 Tm 0.0000 0.3005 0.2676 1

=====

# 17
# Pm2Y6HoTm3 PBE-GGA optimized geometry
# Raw total energy = -5.50 eV/atom
# Calculated density = 6.490 g/cm3
data_Pm2Y6HoTm3
_chemical_formula_sum 'Pm4 Y12 Ho2 Tm6'
_symmetry_space_group_name_H-M 'C 1 2/m 1'
_symmetry_Int_Tables_number 12
_symmetry_space_group_name_Hall '-C 2y'
_cell_length_a 6.1699
_cell_length_b 10.6757
_cell_length_c 11.7948
_cell_angle_alpha 90.00
_cell_angle_beta 100.01
_cell_angle_gamma 90.00
loop_
_atom_site_label
_atom_site_type_symbol
_atom_site_fract_x
_atom_site_fract_y
_atom_site_fract_z
_atom_site_occupancy
Pm1 Pm 0.0000 0.1666 0.0000 1
Y1 Y 0.2478 0.5000 0.7468 1
Y2 Y 0.2489 0.1664 0.7470 1
Ho1 Ho 0.0000 0.5000 0.0000 1
Tm1 Tm 0.0000 0.0000 0.5000 1
Tm2 Tm 0.0000 0.3335 0.5000 1

=====

# 18
# Pm2YHo2Tm PBE-GGA optimized geometry
# Raw total energy = -4.87 eV/atom
# Calculated density = 7.579 g/cm3
data_Pm2YHo2Tm
_chemical_formula_sum 'Pm4 Y2 Ho4 Tm2'
_symmetry_space_group_name_H-M 'P m m a'
_symmetry_Int_Tables_number 51
_symmetry_space_group_name_Hall '-P 2a 2a'
_cell_length_a 7.0006
_cell_length_b 5.6283
_cell_length_c 9.7615
_cell_angle_alpha 90.00
_cell_angle_beta 90.00
_cell_angle_gamma 90.00
loop_
_atom_site_label
_atom_site_type_symbol
_atom_site_fract_x
_atom_site_fract_y
_atom_site_fract_z
_atom_site_occupancy
Pm1 Pm 0.0000 0.0000 0.0000 1
Pm2 Pm 0.2500 0.5000 0.1743 1
Y1 Y 0.0000 0.5000 0.5000 1
Ho1 Ho 0.2500 0.0000 0.3317 1
Ho2 Ho 0.2500 0.5000 0.8368 1
Tm1 Tm 0.2500 0.0000 0.6610 1

=====

# 19
# PmY2HoTm PBE-GGA optimized geometry
# Raw total energy = -4.95 eV/atom
# Calculated density = 6.297 g/cm3
data_PmY2HoTm
_chemical_formula_sum 'Pm4 Y8 Ho4 Tm4'
_symmetry_space_group_name_H-M 'C m c m'
_symmetry_Int_Tables_number 63
_symmetry_space_group_name_Hall '-C 2c 2'
_cell_length_a 8.3978
_cell_length_b 11.4223
_cell_length_c 7.2209
_cell_angle_alpha 90.00
_cell_angle_beta 90.00
_cell_angle_gamma 90.00
loop_
_atom_site_label
_atom_site_type_symbol
_atom_site_fract_x
_atom_site_fract_y
_atom_site_fract_z
_atom_site_occupancy
Pm1 Pm 0.0000 0.2290 0.2500 1
Y1 Y 0.1910 0.0000 0.0000 1
Ho1 Ho 0.0000 0.4985 0.2500 1
Tm1 Tm 0.0000 0.2237 0.7500 1